1.
## BeNiRh (PBEsol)

Data for an optimized crystal structure of BeNiRh.

Summary:
Space-group type ... F-43m, No. 216
Energy ... -5.7207 eV per atom
ΔE_f ... 0.3779 eV per atom

a b c (Å): 3.8224 3.8224 3.8224
angles (deg): 60.00 60.00 60.00
Element x y z (fractional)
1 Ni 0.5000 0.5000 0.5000
2 Rh 0.2500 0.2500 0.2500
3 Be 0.0000 0.0000 0.0000

***

2.
## Be2NiRh (PBEsol)

Data for an optimized crystal structure of Be2NiRh.

Summary:
Space-group type ... Fm-3m, No. 225
Energy ... -6.1760 eV per atom
ΔE_f ... -0.6020 eV per atom

a b c (Å): 3.7784 3.7784 3.7784
angles (deg): 60.00 60.00 60.00
Element x y z (fractional)
1 Be 0.2500 0.2500 0.2500
2 Be 0.7500 0.7500 0.7500
3 Ni 0.0000 0.0000 0.0000
4 Rh 0.5000 0.5000 0.5000

***

3.
## BeNi6Rh (PBEsol)

Data for an optimized crystal structure of BeNi6Rh.

Summary:
Space-group type ... Cmmm, No. 65
Energy ... -6.1998 eV per atom
ΔE_f ... -0.0644 eV per atom

a b c (Å): 6.0131 6.0131 9.8384
angles (deg): 90.00 90.00 109.88
Element x y z (fractional)
1 Ni 0.6167 0.8701 0.8798
2 Ni 0.1299 0.3833 0.1202
3 Ni 0.1299 0.3833 0.8798
4 Ni 0.2522 0.7478 0.2425
5 Ni 0.8643 0.6190 0.3686
6 Ni 0.6167 0.8701 0.1202
7 Ni 0.3810 0.1357 0.3686
8 Ni 0.8643 0.6190 0.6314
9 Ni 0.8701 0.6167 0.8798
10 Ni 0.3833 0.1299 0.8798
11 Ni 0.1357 0.3810 0.6314
12 Ni 0.3810 0.1357 0.6314
13 Ni 0.7478 0.2522 0.7575
14 Ni 0.5000 0.5000 0.5000
15 Ni 0.5000 0.5000 0.0000
16 Ni 0.3833 0.1299 0.1202
17 Ni 0.1357 0.3810 0.3686
18 Ni 0.6190 0.8643 0.3686
19 Ni 0.6190 0.8643 0.6314
20 Ni 0.7478 0.2522 0.2425
21 Ni 0.8701 0.6167 0.1202
22 Ni 0.0000 0.0000 0.5000
23 Ni 0.2522 0.7478 0.7575
24 Ni 0.0000 0.0000 0.0000
25 Rh 0.0000 0.0000 0.7536
26 Rh 0.2474 0.7526 0.5000
27 Rh 0.7526 0.2474 0.5000
28 Rh 0.0000 0.0000 0.2464
29 Be 0.5000 0.5000 0.2423
30 Be 0.7543 0.2457 0.0000
31 Be 0.2457 0.7543 0.0000
32 Be 0.5000 0.5000 0.7577

***

4.
## Be3NiRh (PBEsol)

Data for an optimized crystal structure of Be3NiRh.

Summary:
Space-group type ... Pm-3m, No. 221
Energy ... -4.6206 eV per atom
ΔE_f ... 0.6386 eV per atom

a b c (Å): 4.0302 4.0302 4.0302
angles (deg): 90.00 90.00 90.00
Element x y z (fractional)
1 Be 0.5000 0.0000 0.0000
2 Be 0.0000 0.0000 0.5000
3 Be 0.0000 0.5000 0.0000
4 Rh 0.0000 0.0000 0.0000
5 Ni 0.5000 0.5000 0.5000

***

5.
## Be2NiRh (PBEsol)

Data for an optimized crystal structure of Be2NiRh.

Summary:
Space-group type ... I-4m2, No. 119
Energy ... -5.8741 eV per atom
ΔE_f ... -0.3001 eV per atom

a b c (Å): 3.2335 3.2335 4.4607
angles (deg): 111.25 111.25 90.00
Element x y z (fractional)
1 Rh 0.2500 0.7500 0.5000
2 Ni 0.5000 0.5000 0.0000
3 Be 0.0000 0.0000 0.0000
4 Be 0.7500 0.2500 0.5000

***

6.
## Be4NiRh (PBEsol)

Data for an optimized crystal structure of Be4NiRh.

Summary:
Space-group type ... F-43m, No. 216
Energy ... -5.4575 eV per atom
ΔE_f ... -0.4082 eV per atom

a b c (Å): 4.2186 4.2186 4.2186
angles (deg): 60.00 60.00 60.00
Element x y z (fractional)
1 Be 0.6247 0.1259 0.6247
2 Be 0.6247 0.6247 0.1259
3 Be 0.1259 0.6247 0.6247
4 Be 0.6247 0.6247 0.6247
5 Ni 0.2500 0.2500 0.2500
6 Rh 0.0000 0.0000 0.0000

***

7.
## BeNi2RhS (PBEsol)

Data for an optimized crystal structure of BeNi2RhS.

Summary:
Space-group type ... P4/mmm, No. 123
Energy ... -4.5725 eV per atom

a b c (Å): 4.2218 4.5319 4.5319
angles (deg): 90.00 90.00 90.00
Element x y z (fractional)
1 Be 0.5000 0.5000 0.5000
2 Rh 0.0000 0.0000 0.0000
3 Ni 0.0000 0.5000 0.0000
4 Ni 0.0000 0.0000 0.5000
5 S 0.5000 0.0000 0.0000

***

8.
## Be2NiRu2 (PBEsol)

Data for an optimized crystal structure of Be2NiRu2.

Summary:
Space-group type ... P4/mbm, No. 127
Energy ... -7.1091 eV per atom
ΔE_f ... -0.2086 eV per atom

a b c (Å): 3.1586 5.6994 5.6994
angles (deg): 90.00 90.00 90.00
Element x y z (fractional)
1 Ni 0.0000 0.0000 0.0000
2 Ni 0.0000 0.5000 0.5000
3 Ru 0.5000 0.6758 0.8242
4 Ru 0.5000 0.1758 0.6758
5 Ru 0.5000 0.8242 0.3242
6 Ru 0.5000 0.3242 0.1758
7 Be 0.0000 0.8737 0.6263
8 Be 0.0000 0.3737 0.8737
9 Be 0.0000 0.1263 0.3737
10 Be 0.0000 0.6263 0.1263

***

Let's list total magnetic moment in order: 1.1; 0.0; 12.7; 0.0; 0.0; 0.0; 1.7; 0.0 μB per cell.